[1]
Compound: PbCl3F12
Source: the Alexandria database
Functional: PBE
Structure: optimized geometry

Electronic total energy in eV per atom: -2.951

a b c (Å): 9.9793 9.9793 9.9793
angles (deg): 55.83 55.83 55.83
Element x y z (fractional)
Pb: 0.0000 0.0000 0.0000
Pb: 0.5000 0.5000 0.5000
Cl: 0.0558 0.4448 0.6267
Cl: 0.1267 0.9448 0.5558
Cl: 0.4448 0.6267 0.0558
Cl: 0.5558 0.1267 0.9448
Cl: 0.6267 0.0558 0.4448
Cl: 0.9448 0.5558 0.1267
F: 0.0290 0.2625 0.8662
F: 0.0708 0.6022 0.4281
F: 0.1022 0.5708 0.9281
F: 0.1239 0.9888 0.7327
F: 0.1300 0.9196 0.4009
F: 0.2327 0.4888 0.6239
F: 0.2625 0.8662 0.0290
F: 0.3662 0.7625 0.5290
F: 0.4009 0.1300 0.9196
F: 0.4196 0.6300 0.9009
F: 0.4281 0.0708 0.6022
F: 0.4888 0.6239 0.2327
F: 0.5290 0.3662 0.7625
F: 0.5708 0.9281 0.1022
F: 0.6022 0.4281 0.0708
F: 0.6239 0.2327 0.4888
F: 0.6300 0.9009 0.4196
F: 0.7327 0.1239 0.9888
F: 0.7625 0.5290 0.3662
F: 0.8662 0.0290 0.2625
F: 0.9009 0.4196 0.6300
F: 0.9196 0.4009 0.1300
F: 0.9281 0.1022 0.5708
F: 0.9888 0.7327 0.1239

***

[2]
Compound: PbClF3
Source: the Alexandria database
Functional: PBE
Structure: optimized geometry

Distance to the lowest polymorph of the same formula in meV per atom: 837
Electronic total energy in eV per atom: -2.987

a b c (Å): 4.5081 4.5081 4.5081
angles (deg): 90.00 90.00 90.00
Element x y z (fractional)
Pb: 0.0000 0.0000 0.0000
Cl: 0.5000 0.5000 0.5000
F: 0.0000 0.5000 0.5000
F: 0.5000 0.0000 0.5000
F: 0.5000 0.5000 0.0000

***

[3]
Compound: PbCl2F
Source: the Alexandria database
Functional: PBE
Structure: optimized geometry

Distance to the lowest polymorph of the same formula in meV per atom: 255
Electronic total energy in eV per atom: -3.124

a b c (Å): 6.9131 6.9131 6.9131
angles (deg): 90.00 90.00 90.00
Element x y z (fractional)
Pb: 0.0000 0.0000 0.0000
Pb: 0.0000 0.5000 0.5000
Pb: 0.5000 0.0000 0.5000
Pb: 0.5000 0.5000 0.0000
Cl: 0.2500 0.2500 0.2500
Cl: 0.2500 0.2500 0.7500
Cl: 0.2500 0.7500 0.2500
Cl: 0.2500 0.7500 0.7500
Cl: 0.7500 0.2500 0.2500
Cl: 0.7500 0.2500 0.7500
Cl: 0.7500 0.7500 0.2500
Cl: 0.7500 0.7500 0.7500
F: 0.0000 0.0000 0.5000
F: 0.0000 0.5000 0.0000
F: 0.5000 0.0000 0.0000
F: 0.5000 0.5000 0.5000

***

[4]
Compound: PbClF3
Source: the Alexandria database
Functional: PBE
Structure: optimized geometry

Distance to the lowest polymorph of the same formula in meV per atom: 0
Electronic total energy in eV per atom: -3.825

a b c (Å): 6.3246 6.2041 5.3195
angles (deg): 90.00 90.00 90.00
Element x y z (fractional)
Pb: 0.0000 0.0312 0.0000
Pb: 0.5000 0.9688 0.5000
Cl: 0.0000 0.3641 0.2129
Cl: 0.5000 0.6359 0.7129
F: 0.0000 0.7615 0.7915
F: 0.2376 0.8718 0.2446
F: 0.2624 0.1282 0.7446
F: 0.5000 0.2385 0.2915
F: 0.7376 0.1282 0.7446
F: 0.7624 0.8718 0.2446

***

[5]
Compound: Pb7Cl2F12
Source: the Alexandria database
Functional: PBE
Structure: optimized geometry

Electronic total energy in eV per atom: -4.702

a b c (Å): 10.4032 10.4032 4.0273
angles (deg): 90.00 90.00 120.00
Element x y z (fractional)
Pb: 0.0000 0.0000 0.0000
Pb: 0.1071 0.4188 0.0000
Pb: 0.3117 0.8929 0.0000
Pb: 0.3976 0.2830 0.5000
Pb: 0.5812 0.6883 0.0000
Pb: 0.7170 0.1146 0.5000
Pb: 0.8854 0.6024 0.5000
Cl: 0.3333 0.6667 0.5000
Cl: 0.6667 0.3333 0.0000
F: 0.0486 0.6202 0.0000
F: 0.0724 0.8674 0.5000
F: 0.1326 0.2049 0.5000
F: 0.2784 0.1106 0.0000
F: 0.3798 0.4285 0.0000
F: 0.4269 0.0358 0.5000
F: 0.5715 0.9514 0.0000
F: 0.6089 0.5731 0.5000
F: 0.7951 0.9276 0.5000
F: 0.8322 0.7216 0.0000
F: 0.8894 0.1678 0.0000
F: 0.9642 0.3911 0.5000

***

[6]
Compound: Pb4Cl4F3
Source: the Alexandria database
Functional: PBE
Structure: optimized geometry

Electronic total energy in eV per atom: -3.948

a b c (Å): 9.8131 9.8131 9.8131
angles (deg): 157.86 124.11 60.85
Element x y z (fractional)
Pb: 0.2214 0.2214 0.0000
Pb: 0.3002 0.0000 0.3002
Pb: 0.6998 0.0000 0.6998
Pb: 0.7786 0.7786 0.0000
Cl: 0.1445 0.8340 0.3105
Cl: 0.4765 0.1660 0.3105
Cl: 0.5235 0.8340 0.6895
Cl: 0.8555 0.1660 0.6895
F: 0.1358 0.6358 0.5000
F: 0.5000 0.5000 0.0000
F: 0.8642 0.3642 0.5000

***

Energy relative to the elements, uncorrected values, unit eV/atom, following the record order: -0.970 -0.754 -0.806 -1.591 -2.221 -1.418.
Size of the total moment values, unit Bohr magnetons per cell, following the record order: 0.0 0.0 0.0 0.2 0.0 0.0.